Material: MoCO3
Method: DFT, PBE+U
State: optimized geometry

Results
total energy: -28.5 eV per cell
DOS at the Fermi energy: 0.23 states/eV/atom
M_tot: 3.0 μB/f.u.

Geometry as CIF:
```
data_MoCO3
_cell_length_a 3.488
_cell_length_b 3.488
_cell_length_c 3.488
_cell_angle_alpha 90.00
_cell_angle_beta 90.00
_cell_angle_gamma 90.00
_space_group_name_H-M_alt 'P m -3 m'
_space_group_IT_number 221
_space_group_name_Hall '-P 4 2 3'
loop_
_atom_site_label
_atom_site_type_symbol
_atom_site_fract_x
_atom_site_fract_y
_atom_site_fract_z
Mo1 Mo 0.000 0.000 0.000
C1 C 0.500 0.500 0.500
O1 O 0.000 0.500 0.500
```